Below is a relaxed LiNdInPd crystal, with properties calculated at the PBE level. Values from VASP.

Quantum ESPRESSO input file:
```
&SYSTEM
  ibrav = 0, nat = 4, ntyp = 4
/
ATOMIC_SPECIES
In 114.82 In.upf
Pd 106.42 Pd.upf
Li 6.94 Li.upf
Nd 144.24 Nd.upf
ATOMIC_POSITIONS angstrom
In -0.601 -2.943 0.116
Pd -1.202 -5.886 0.232
Li 0.000 0.000 0.000
Nd -1.803 -8.828 0.348
CELL_PARAMETERS angstrom
-2.692 -3.620 -1.935
1.905 -4.500 -0.456
-1.617 -3.651 2.855
```

## Properties
Magnetic moment, μB per atom: 0.00
DOS(E_F), states/eV per cell: 7.13
Calculated formation energy, eV per formula unit: -2.23

Below is a relaxed LiNdIn2Pd4 crystal, with properties calculated at the PBE level. Values from VASP.

Quantum ESPRESSO input file:
```
&SYSTEM
  ibrav = 0, nat = 8, ntyp = 4
/
ATOMIC_SPECIES
Pd 106.42 Pd.upf
In 114.82 In.upf
Nd 144.24 Nd.upf
Li 6.94 Li.upf
ATOMIC_POSITIONS angstrom
Pd -3.883 -5.740 5.063
Pd 0.093 -5.611 1.003
Pd -1.012 -8.029 2.597
Pd -2.778 -3.322 3.469
In -0.869 -3.046 1.478
In -2.921 -8.305 4.588
Nd 0.000 0.000 0.000
Li -1.895 -5.676 3.033
CELL_PARAMETERS angstrom
-0.845 -1.132 4.403
-4.107 -1.761 1.187
1.162 -8.458 0.476
```

## Properties
Magnetic moment, μB per atom: 0.00
DOS(E_F), states/eV per cell: 4.88
Calculated formation energy, eV per formula unit: -5.11

Below is a relaxed Li2NdInPd4 crystal, with properties calculated at the PBE level. Values from VASP.

Quantum ESPRESSO input file:
```
&SYSTEM
  ibrav = 0, nat = 8, ntyp = 4
/
ATOMIC_SPECIES
Pd 106.42 Pd.upf
Nd 144.24 Nd.upf
In 114.82 In.upf
Li 6.94 Li.upf
ATOMIC_POSITIONS angstrom
Pd 2.277 1.314 4.950
Pd 6.830 3.943 2.980
Pd 4.553 2.629 6.639
Pd 4.553 2.629 1.291
Nd 0.000 0.000 0.000
In 4.553 2.629 3.965
Li 6.830 3.943 5.731
Li 2.277 1.314 2.198
CELL_PARAMETERS angstrom
4.553 0.000 0.000
2.277 3.943 0.000
2.277 1.314 7.929
```

## Properties
Magnetic moment, μB per atom: 0.00
DOS(E_F), states/eV per cell: 3.36
Calculated formation energy, eV per formula unit: -4.61